[1]
Below is a relaxed structure of MgAl2H6, with properties calculated at the PBE level.

Structure (POSCAR):
```
MgAl2H6
1.0
0.000 3.311 3.311
3.311 0.000 3.311
3.311 3.311 0.000
Mg Al H
1 2 6
Cartesian
0.000 0.000 0.000 Mg
1.656 1.656 1.656 Al
4.967 4.967 4.967 Al
3.311 3.311 1.829 H
3.311 1.829 3.311 H
4.793 3.311 3.311 H
1.829 3.311 3.311 H
3.311 4.793 3.311 H
3.311 3.311 4.793 H
```

**D(E_F)**: 0.2197 states/eV/atom
**Space-group type**: Fm-3m, No. 225
**Crystal system**: cubic
**E above lowest polymorph**: 45.27 kJ per mole of atoms
**Final energy**: -24.9 eV/cell

***

[2]
Below is a relaxed structure of Mg3AlH, with properties calculated at the PBE level.

Structure (POSCAR):
```
Mg3AlH
1.0
4.386 0.000 0.000
0.000 4.386 0.000
0.000 0.000 4.386
Mg Al H
3 1 1
Cartesian
0.000 0.000 2.193 Mg
0.000 2.193 0.000 Mg
2.193 0.000 0.000 Mg
2.193 2.193 2.193 Al
0.000 0.000 0.000 H
```

**D(E_F)**: 0.5561 states/eV/atom
**Space-group type**: Pm-3m, No. 221
**Crystal system**: cubic
**E above lowest polymorph**: 0.00 kJ per mole of atoms
**Final energy**: -11.7 eV/cell

***

[3]
Below is a relaxed structure of MgAlH, with properties calculated at the PBE level.

Structure (POSCAR):
```
MgAlH
1.0
5.297 0.000 0.000
0.000 3.166 0.000
-1.688 0.000 9.953
Mg Al H
4 4 4
Cartesian
0.887 0.000 1.555 Mg
0.074 1.583 8.398 Mg
3.535 1.583 1.555 Mg
2.722 0.000 8.398 Mg
0.032 1.583 3.911 Al
0.928 0.000 6.042 Al
2.681 0.000 3.911 Al
3.577 1.583 6.042 Al
-0.788 0.000 9.177 H
1.749 1.583 0.776 H
1.860 1.583 9.177 H
4.397 0.000 0.776 H
```

**D(E_F)**: 0.1449 states/eV/atom
**Space-group type**: C2/m, No. 12
**Crystal system**: monoclinic
**Final energy**: -34.9 eV/cell

***

[4]
Below is a relaxed structure of MgAlH, with properties calculated at the PBE level.

Structure (POSCAR):
```
MgAlH
1.0
1.583 0.914 9.695
-1.583 0.914 9.695
0.000 -1.828 9.695
Mg Al H
2 2 2
Cartesian
0.000 0.000 3.340 Mg
0.000 0.000 25.745 Mg
0.000 0.000 10.701 Al
0.000 0.000 18.384 Al
0.000 0.000 5.608 H
0.000 0.000 23.477 H
```

**D(E_F)**: 0.1564 states/eV/atom
**Space-group type**: R-3m, No. 166
**Crystal system**: trigonal
**Final energy**: -17.5 eV/cell

***

[5]
Below is a relaxed structure of MgAlH5, with properties calculated at the PBE level.

Structure (POSCAR):
```
MgAlH5
1.0
3.739 -3.387 0.000
3.739 3.387 0.000
-3.299 0.000 6.198
Mg Al H
2 2 10
Cartesian
3.739 -3.386 0.000 Mg
2.090 3.386 3.099 Mg
1.261 0.523 4.650 Al
2.911 -0.523 1.551 Al
2.912 2.895 1.548 H
1.683 0.359 0.985 H
1.777 1.446 3.402 H
0.735 1.444 5.894 H
0.033 -0.359 4.084 H
4.139 0.354 2.115 H
3.426 -1.446 0.303 H
2.385 -1.444 2.795 H
2.490 -0.354 5.214 H
1.263 -2.895 4.647 H
```

**D(E_F)**: 0.0000 states/eV/atom
**Space-group type**: Cc, No. 9
**Crystal system**: monoclinic
**E above lowest polymorph**: 3.46 kJ per mole of atoms
**Final energy**: -45.0 eV/cell

***

[6]
Below is a relaxed structure of Mg3AlH, with properties calculated at the PBE level.

Structure (POSCAR):
```
Mg3AlH
1.0
5.220 0.000 0.000
0.000 5.220 0.000
0.000 0.000 5.220
Mg Al H
3 1 1
Cartesian
0.000 0.000 2.610 Mg
0.000 2.610 0.000 Mg
2.610 0.000 0.000 Mg
0.000 0.000 0.000 Al
2.610 2.610 2.610 H
```

**D(E_F)**: 0.0000 states/eV/atom
**Space-group type**: Pm-3m, No. 221
**Crystal system**: cubic
**E above lowest polymorph**: 62.86 kJ per mole of atoms
**Final energy**: -8.4 eV/cell

***

[7]
Below is a relaxed structure of Mg2AlH, with properties calculated at the PBE level.

Structure (POSCAR):
```
Mg2AlH
1.0
6.570 0.000 0.000
0.000 6.570 0.000
0.000 0.000 6.570
Mg Al H
8 4 4
Cartesian
1.643 1.643 1.643 Mg
1.643 1.643 4.928 Mg
1.643 4.928 1.643 Mg
1.643 4.928 4.928 Mg
4.928 1.643 1.643 Mg
4.928 1.643 4.928 Mg
4.928 4.928 1.643 Mg
4.928 4.928 4.928 Mg
0.000 0.000 0.000 Al
0.000 3.285 3.285 Al
3.285 0.000 3.285 Al
3.285 3.285 0.000 Al
0.000 0.000 3.285 H
0.000 3.285 0.000 H
3.285 0.000 0.000 H
3.285 3.285 3.285 H
```

**D(E_F)**: 0.5840 states/eV/atom
**Space-group type**: Fm-3m, No. 225
**Crystal system**: cubic
**E above lowest polymorph**: 33.12 kJ per mole of atoms
**Final energy**: -34.3 eV/cell

***

[8]
Below is a relaxed structure of MgAlH, with properties calculated at the PBE level.

Structure (POSCAR):
```
MgAlH
1.0
5.256 0.000 0.000
0.000 3.143 0.000
-1.979 0.000 10.292
Mg Al H
4 4 4
Cartesian
0.000 0.000 0.000 Mg
-1.089 1.572 6.822 Mg
2.628 1.572 0.000 Mg
1.539 0.000 6.822 Mg
-0.173 0.000 4.494 Al
0.789 1.572 2.355 Al
2.455 1.572 4.494 Al
3.417 0.000 2.355 Al
-0.204 0.000 9.486 H
0.666 1.572 7.682 H
2.424 1.572 9.486 H
3.294 0.000 7.682 H
```

**D(E_F)**: 0.1927 states/eV/atom
**Space-group type**: Cm, No. 8
**Crystal system**: monoclinic
**Final energy**: -34.8 eV/cell